# 1
ZnCd2 PBEsol optimized geometry; D(E_F) = 0.852 states/eV/f.u.; symmetry = Pnma; calculated total energy = -1.252 eV/atom; formation energy = 7.1 kJ per mole of atoms
1.0
6.052 0.000 0.000
0.000 4.453 0.000
0.000 0.000 8.472
Zn Cd
4 8
Direct
0.221 0.250 0.162 Zn
0.279 0.750 0.662 Zn
0.721 0.250 0.338 Zn
0.779 0.750 0.838 Zn
0.092 0.250 0.831 Cd
0.163 0.250 0.481 Cd
0.337 0.750 0.981 Cd
0.408 0.750 0.331 Cd
0.592 0.250 0.669 Cd
0.663 0.250 0.019 Cd
0.837 0.750 0.519 Cd
0.908 0.750 0.169 Cd

---

# 2
Zn3Cd PBEsol optimized geometry; D(E_F) = 1.329 states/eV/f.u.; symmetry = Pmmm; calculated total energy = -1.416 eV/atom; formation energy = 6.7 kJ per mole of atoms
1.0
2.676 0.000 0.000
0.000 3.784 0.000
0.000 0.000 6.387
Zn Cd
3 1
Direct
0.000 0.000 0.000 Zn
0.500 0.500 0.222 Zn
0.500 0.500 0.778 Zn
0.000 0.000 0.500 Cd

---

# 3
Zn3Cd PBEsol optimized geometry; D(E_F) = 0.636 states/eV/f.u.; symmetry = Pmmn; calculated total energy = -1.430 eV/atom; formation energy = 5.4 kJ per mole of atoms
1.0
5.113 0.000 0.000
0.000 5.370 0.000
0.000 0.000 4.677
Zn Cd
6 2
Direct
0.250 0.007 0.163 Zn
0.250 0.250 0.674 Zn
0.250 0.493 0.163 Zn
0.750 0.507 0.837 Zn
0.750 0.750 0.326 Zn
0.750 0.993 0.837 Zn
0.250 0.750 0.662 Cd
0.750 0.250 0.338 Cd

---

# 4
Zn3Cd PBEsol optimized geometry; D(E_F) = 1.137 states/eV/f.u.; symmetry = Cmmm; calculated total energy = -1.397 eV/atom; formation energy = 8.6 kJ per mole of atoms
1.0
2.716 -4.030 0.000
2.716 4.030 0.000
0.000 0.000 2.931
Zn Cd
3 1
Direct
0.000 0.000 0.000 Zn
0.000 0.500 0.500 Zn
0.500 0.000 0.500 Zn
0.500 0.500 0.000 Cd

---

# 5
Zn2Cd PBEsol optimized geometry; D(E_F) = 0.778 states/eV/f.u.; symmetry = Imma; calculated total energy = -1.349 eV/atom; formation energy = 10.1 kJ per mole of atoms
1.0
-1.379 2.187 8.686
1.379 -2.187 8.686
1.379 2.187 -8.686
Zn Cd
4 2
Direct
0.288 0.038 0.250 Zn
0.440 0.190 0.250 Zn
0.560 0.810 0.750 Zn
0.712 0.962 0.750 Zn
0.128 0.378 0.750 Cd
0.872 0.622 0.250 Cd

---

# 6
Zn3Cd PBEsol optimized geometry; D(E_F) = 1.128 states/eV/f.u.; symmetry = P-6m2; calculated total energy = -1.416 eV/atom; formation energy = 6.7 kJ per mole of atoms
1.0
2.860 0.000 0.000
-1.430 2.476 0.000
0.000 0.000 8.969
Zn Cd
3 1
Direct
0.000 0.000 0.000 Zn
0.667 0.333 0.230 Zn
0.667 0.333 0.770 Zn
0.000 0.000 0.500 Cd

---

# 7
Zn3Cd PBEsol optimized geometry; D(E_F) = 1.085 states/eV/f.u.; symmetry = Pmm2; calculated total energy = -1.411 eV/atom; formation energy = 7.2 kJ per mole of atoms
1.0
2.826 0.000 0.000
0.000 4.533 0.000
0.000 0.000 4.927
Zn Cd
3 1
Direct
0.000 0.000 0.000 Zn
0.000 0.500 0.312 Zn
0.500 0.500 0.849 Zn
0.500 0.000 0.504 Cd

---

# 8
Zn5Cd PBEsol optimized geometry; E above lowest polymorph = 22 meV per atom; D(E_F) = 1.913 states/eV/f.u.; symmetry = F-43m; calculated total energy = -1.442 eV/atom; formation energy = 7.3 kJ per mole of atoms
1.0
0.000 3.597 3.597
3.597 0.000 3.597
3.597 3.597 0.000
Zn Cd
5 1
Direct
0.000 0.000 0.000 Zn
0.124 0.625 0.625 Zn
0.625 0.124 0.625 Zn
0.625 0.625 0.124 Zn
0.625 0.625 0.625 Zn
0.250 0.250 0.250 Cd

---

# 9
ZnCd7 PBEsol optimized geometry; D(E_F) = 1.949 states/eV/f.u.; symmetry = Fm-3m; calculated total energy = -1.205 eV/atom; formation energy = 3.9 kJ per mole of atoms
1.0
0.000 4.315 4.315
4.315 0.000 4.315
4.315 4.315 0.000
Zn Cd
1 7
Direct
0.000 0.000 0.000 Zn
0.000 0.000 0.500 Cd
0.000 0.500 0.000 Cd
0.000 0.500 0.500 Cd
0.500 0.000 0.000 Cd
0.500 0.000 0.500 Cd
0.500 0.500 0.000 Cd
0.500 0.500 0.500 Cd

---

# 10
Zn5Cd PBEsol optimized geometry; E above lowest polymorph = 0 meV per atom; D(E_F) = 1.515 states/eV/f.u.; symmetry = Amm2; calculated total energy = -1.464 eV/atom; formation energy = 5.2 kJ per mole of atoms
1.0
4.404 0.000 0.000
0.000 1.395 7.432
0.000 -1.395 7.432
Zn Cd
5 1
Direct
0.000 0.000 0.000 Zn
0.000 0.312 0.312 Zn
0.000 0.655 0.655 Zn
0.500 0.108 0.108 Zn
0.500 0.762 0.762 Zn
0.500 0.432 0.432 Cd

---

# 11
Zn3Cd PBEsol optimized geometry; D(E_F) = 1.066 states/eV/f.u.; symmetry = Pm-3n; calculated total energy = -1.412 eV/atom; formation energy = 7.1 kJ per mole of atoms
1.0
5.054 0.000 0.000
0.000 5.054 0.000
0.000 0.000 5.054
Zn Cd
6 2
Direct
0.000 0.250 0.500 Zn
0.000 0.750 0.500 Zn
0.250 0.500 0.000 Zn
0.500 0.000 0.250 Zn
0.500 0.000 0.750 Zn
0.750 0.500 0.000 Zn
0.000 0.000 0.000 Cd
0.500 0.500 0.500 Cd

---

# 12
Zn3Cd PBEsol optimized geometry; D(E_F) = 0.933 states/eV/f.u.; symmetry = Imm2; calculated total energy = -1.411 eV/atom; formation energy = 7.2 kJ per mole of atoms
1.0
-1.348 5.085 2.354
1.348 -5.085 2.354
1.348 5.085 -2.354
Zn Cd
3 1
Direct
0.000 0.000 0.000 Zn
0.389 0.648 0.741 Zn
0.908 0.648 0.259 Zn
0.504 0.004 0.500 Cd

---

# 13
Zn3Cd PBEsol optimized geometry; D(E_F) = 1.108 states/eV/f.u.; symmetry = R-3m; calculated total energy = -1.414 eV/atom; formation energy = 6.9 kJ per mole of atoms
1.0
1.454 0.839 8.779
-1.454 0.839 8.779
0.000 -1.679 8.779
Zn Cd
3 1
Direct
0.000 0.000 0.000 Zn
0.256 0.256 0.256 Zn
0.744 0.744 0.744 Zn
0.500 0.500 0.500 Cd

---

# 14
ZnCd2 PBEsol optimized geometry; D(E_F) = 0.946 states/eV/f.u.; symmetry = P-3m1; calculated total energy = -1.208 eV/atom; formation energy = 11.3 kJ per mole of atoms
1.0
4.573 0.000 0.000
-2.287 3.960 0.000
0.000 0.000 3.180
Zn Cd
1 2
Direct
0.000 0.000 0.000 Zn
0.333 0.667 0.734 Cd
0.667 0.333 0.266 Cd

---

# 15
Zn3Cd PBEsol optimized geometry; D(E_F) = 1.319 states/eV/f.u.; symmetry = P4/mmm; calculated total energy = -1.418 eV/atom; formation energy = 6.5 kJ per mole of atoms
1.0
2.842 0.000 0.000
0.000 2.842 0.000
0.000 0.000 7.885
Zn Cd
3 1
Direct
0.000 0.000 0.000 Zn
0.500 0.500 0.225 Zn
0.500 0.500 0.775 Zn
0.000 0.000 0.500 Cd

---

# 16
Zn3Cd5 PBEsol optimized geometry; D(E_F) = 2.458 states/eV/f.u.; symmetry = P6_3/mcm; calculated total energy = -1.228 eV/atom; formation energy = 11.0 kJ per mole of atoms
1.0
8.018 0.000 0.000
-4.009 6.944 0.000
0.000 0.000 5.433
Zn Cd
6 10
Direct
0.000 0.405 0.250 Zn
0.000 0.595 0.750 Zn
0.405 0.000 0.250 Zn
0.405 0.405 0.750 Zn
0.595 0.000 0.750 Zn
0.595 0.595 0.250 Zn
0.000 0.226 0.750 Cd
0.000 0.774 0.250 Cd
0.226 0.000 0.750 Cd
0.226 0.226 0.250 Cd
0.333 0.667 0.000 Cd
0.333 0.667 0.500 Cd
0.667 0.333 0.000 Cd
0.667 0.333 0.500 Cd
0.774 0.000 0.250 Cd
0.774 0.774 0.750 Cd

---

# 17
ZnCd2 PBEsol optimized geometry; D(E_F) = 1.165 states/eV/f.u.; symmetry = Fd-3m; calculated total energy = -1.241 eV/atom; formation energy = 8.1 kJ per mole of atoms
1.0
0.000 6.108 6.108
6.108 0.000 6.108
6.108 6.108 0.000
Zn Cd
8 16
Direct
0.139 0.787 0.787 Zn
0.213 0.213 0.213 Zn
0.213 0.213 0.861 Zn
0.213 0.861 0.213 Zn
0.787 0.139 0.787 Zn
0.787 0.787 0.139 Zn
0.787 0.787 0.787 Zn
0.861 0.213 0.213 Zn
0.000 0.000 0.000 Cd
0.000 0.000 0.500 Cd
0.000 0.500 0.000 Cd
0.188 0.188 0.562 Cd
0.188 0.562 0.188 Cd
0.188 0.562 0.562 Cd
0.438 0.438 0.812 Cd
0.438 0.812 0.438 Cd
0.438 0.812 0.812 Cd
0.500 0.000 0.000 Cd
0.562 0.188 0.188 Cd
0.562 0.188 0.562 Cd
0.562 0.562 0.188 Cd
0.812 0.438 0.438 Cd
0.812 0.438 0.812 Cd
0.812 0.812 0.438 Cd

---

# 18
ZnCd2 PBEsol optimized geometry; D(E_F) = 0.761 states/eV/f.u.; symmetry = C2/m; calculated total energy = -1.273 eV/atom; formation energy = 5.1 kJ per mole of atoms
1.0
5.933 -1.412 0.000
5.933 1.412 0.000
-3.100 0.000 6.808
Zn Cd
2 4
Direct
0.203 0.203 0.112 Zn
0.797 0.797 0.888 Zn
0.149 0.149 0.552 Cd
0.485 0.485 0.191 Cd
0.515 0.515 0.809 Cd
0.851 0.851 0.448 Cd

---

# 19
Zn3Cd PBEsol optimized geometry; D(E_F) = 0.939 states/eV/f.u.; symmetry = P2/m; calculated total energy = -1.401 eV/atom; formation energy = 8.1 kJ per mole of atoms
1.0
2.924 0.000 0.000
0.000 4.668 0.000
-0.442 0.000 4.794
Zn Cd
3 1
Direct
0.000 0.000 0.000 Zn
0.249 0.500 0.236 Zn
0.751 0.500 0.764 Zn
0.500 0.000 0.500 Cd

---

# 20
Zn3Cd PBEsol optimized geometry; D(E_F) = 0.886 states/eV/f.u.; symmetry = Pnma; calculated total energy = -1.411 eV/atom; formation energy = 7.2 kJ per mole of atoms
1.0
5.374 0.000 0.000
0.000 8.971 0.000
0.000 0.000 5.362
Zn Cd
12 4
Direct
0.134 0.250 0.124 Zn
0.219 0.507 0.868 Zn
0.219 0.993 0.868 Zn
0.281 0.007 0.368 Zn
0.281 0.493 0.368 Zn
0.366 0.750 0.624 Zn
0.634 0.250 0.376 Zn
0.719 0.507 0.632 Zn
0.719 0.993 0.632 Zn
0.781 0.007 0.132 Zn
0.781 0.493 0.132 Zn
0.866 0.750 0.876 Zn
0.109 0.250 0.619 Cd
0.391 0.750 0.119 Cd
0.609 0.250 0.881 Cd
0.891 0.750 0.381 Cd

---

# 21
ZnCd2 PBEsol optimized geometry; D(E_F) = 0.811 states/eV/f.u.; symmetry = Cm; calculated total energy = -1.260 eV/atom; formation energy = 6.3 kJ per mole of atoms
1.0
5.945 -1.415 0.000
5.945 1.415 0.000
-2.817 0.000 6.795
Zn Cd
2 4
Direct
0.000 0.000 0.000 Zn
0.675 0.675 0.293 Zn
0.077 0.077 0.539 Cd
0.360 0.360 0.648 Cd
0.381 0.381 0.229 Cd
0.692 0.692 0.907 Cd

---

# 22
ZnCd2 PBEsol optimized geometry; D(E_F) = 0.916 states/eV/f.u.; symmetry = Cmcm; calculated total energy = -1.252 eV/atom; formation energy = 7.1 kJ per mole of atoms
1.0
1.493 -7.659 0.000
1.493 7.659 0.000
0.000 0.000 4.863
Zn Cd
2 4
Direct
0.111 0.889 0.750 Zn
0.889 0.111 0.250 Zn
0.223 0.777 0.250 Cd
0.446 0.554 0.750 Cd
0.554 0.446 0.250 Cd
0.777 0.223 0.750 Cd

---

# 23
Zn5Cd PBEsol optimized geometry; E above lowest polymorph = 42 meV per atom; D(E_F) = 1.895 states/eV/f.u.; symmetry = P6/mmm; calculated total energy = -1.422 eV/atom; formation energy = 9.3 kJ per mole of atoms
1.0
5.084 0.000 0.000
-2.542 4.403 0.000
0.000 0.000 4.300
Zn Cd
5 1
Direct
0.000 0.500 0.000 Zn
0.333 0.667 0.500 Zn
0.500 0.000 0.000 Zn
0.500 0.500 0.000 Zn
0.667 0.333 0.500 Zn
0.000 0.000 0.500 Cd

---

# 24
Zn3Cd2 PBEsol optimized geometry; D(E_F) = 1.460 states/eV/f.u.; symmetry = R-3m; calculated total energy = -1.342 eV/atom; formation energy = 8.3 kJ per mole of atoms
1.0
1.493 0.862 11.072
-1.493 0.862 11.072
0.000 -1.724 11.072
Zn Cd
3 2
Direct
0.000 0.000 0.000 Zn
0.196 0.196 0.196 Zn
0.804 0.804 0.804 Zn
0.402 0.402 0.402 Cd
0.598 0.598 0.598 Cd

---

# 25
ZrZnCd2 PBEsol optimized geometry; D(E_F) = 1.371 states/eV/f.u.; symmetry = F-43m; calculated total energy = -3.325 eV/atom; formation energy = -5.7 kJ per mole of atoms
1.0
0.000 3.342 3.342
3.342 0.000 3.342
3.342 3.342 0.000
Zr Zn Cd
1 1 2
Direct
0.000 0.000 0.000 Zr
0.250 0.250 0.250 Zn
0.500 0.500 0.500 Cd
0.750 0.750 0.750 Cd

---

# 26
ZrZnCd PBEsol optimized geometry; D(E_F) = 1.709 states/eV/f.u.; symmetry = I4mm; calculated total energy = -4.147 eV/atom; formation energy = -18.4 kJ per mole of atoms
1.0
-1.523 1.523 5.939
1.523 -1.523 5.939
1.523 1.523 -5.939
Zr Zn Cd
1 1 1
Direct
0.000 0.000 0.000 Zr
0.344 0.344 0.000 Zn
0.690 0.690 0.000 Cd